# 1
Here is crystalline Tb2Al3Ga3 at its relaxed geometry from OQMD via LeMat-Bulk. Energies are from PBE-GGA.

abc: 6.3179 6.3179 4.5246
angles: 90.00 90.00 120.00
Last column: nearest neighbours and their distance in Å.
Space group P-6m2 (No. 187)
One atom of each set of equivalent atoms:
Tb 0.0000 0.0000 0.0000  6 Ga 3.05, 6 Al 3.17
Tb 0.3333 0.6667 0.5000  6 Al 3.06, 6 Ga 3.17
Al 0.5213 0.0425 0.0000  2 Al 2.76, 4 Ga 2.77, 2 Tb 3.06
Ga 0.3729 0.1865 0.5000  4 Al 2.77, 2 Ga 2.78, 2 Tb 3.05

Calculated values
Energy above the lowest structure with this stoichiometry ... 0.00 kcal/mol of atoms

# 2
Here is crystalline Tb2Al3Ga3 at its relaxed geometry from OQMD via LeMat-Bulk. Energies are from PBE-GGA.

abc: 4.5640 6.2973 10.9082
angles: 90.00 90.00 90.00
Last column: nearest neighbours and their distance in Å.
Space group Amm2 (No. 38)
One atom of each set of equivalent atoms:
Tb 0.0000 0.0000 0.0000  6 Ga 3.04-3.16, 6 Al 3.07-3.16
Tb 0.5000 0.0000 0.3342  6 Ga 3.05-3.16, 6 Al 3.07-3.16
Al 0.0000 0.0000 0.5229  2 Ga 2.75, 4 Al 2.78, 2 Tb 3.07
Al 0.5000 0.2181 0.5949  3 Al 2.75-2.78, 3 Ga 2.77-2.78, 2 Tb 3.07
Ga 0.0000 0.2225 0.7403  3 Al 2.75-2.78, 3 Ga 2.80, 2 Tb 3.05
Ga 0.5000 0.0000 0.8153  2 Al 2.77, 4 Ga 2.80, 2 Tb 3.04

Calculated values
Energy above the lowest structure with this stoichiometry ... 0.15 kcal/mol of atoms

# 3
Here is crystalline TbAl2Ga at its relaxed geometry from OQMD via LeMat-Bulk. Energies are from PBE-GGA.

abc: 4.5703 10.8986 6.3221
angles: 90.00 90.00 90.00
Last column: nearest neighbours and their distance in Å.
Space group Ama2 (No. 40)
One atom of each set of equivalent atoms:
Tb 0.2500 0.1654 0.0000  4 Ga 3.05-3.17, 8 Al 3.07-3.17
Al 0.2500 0.1445 0.4992  3 Al 2.75-2.78, 3 Ga 2.77-2.78
Al 0.2500 0.4260 0.2175  5 Al 2.75-2.80, 1 Ga 2.77, 2 Tb 3.07
Ga 0.2500 0.4241 0.7797  4 Al 2.77-2.78, 2 Ga 2.82, 2 Tb 3.05

Calculated values
Energy ... -4.260 eV per atom

# 4
Here is crystalline Tb2Al5Ga at its relaxed geometry from OQMD via LeMat-Bulk. Energies are from PBE-GGA.

abc: 4.5836 6.2997 10.9493
angles: 90.00 90.00 90.00
Last column: nearest neighbours and their distance in Å.
Space group Amm2 (No. 38)
One atom of each set of equivalent atoms:
Tb 0.0000 0.0000 0.0000  2 Ga 3.06, 10 Al 3.08-3.17
Tb 0.5000 0.0000 0.3349  10 Al 3.06-3.17, 2 Ga 3.16
Al 0.0000 0.0000 0.5207  6 Al 2.77-2.80, 2 Tb 3.06
Al 0.0000 0.2198 0.7395  4 Al 2.77-2.78, 2 Ga 2.80, 2 Tb 3.08
Al 0.5000 0.2189 0.5957  5 Al 2.76-2.80, 1 Ga 2.77, 2 Tb 3.08
Ga 0.5000 0.0000 0.8149  6 Al 2.77-2.80, 2 Tb 3.06

Calculated values
Energy ... -4.333 eV per atom

# 5
Here is crystalline Tb2AlGa5 at its relaxed geometry from OQMD via LeMat-Bulk. Energies are from PBE-GGA.

abc: 4.5733 6.2876 10.8763
angles: 90.00 90.00 90.00
Last column: nearest neighbours and their distance in Å.
Space group Amm2 (No. 38)
One atom of each set of equivalent atoms:
Tb 0.0000 0.0000 0.0000  10 Ga 3.05-3.15, 2 Al 3.06
Tb 0.5000 0.0000 0.3329  10 Ga 3.05-3.15, 2 Al 3.15
Al 0.5000 0.0000 0.8132  6 Ga 2.78-2.79, 2 Tb 3.06
Ga 0.0000 0.0000 0.5182  6 Ga 2.79-2.80, 2 Tb 3.05
Ga 0.0000 0.2218 0.7408  4 Ga 2.79-2.80, 2 Al 2.79, 2 Tb 3.05
Ga 0.5000 0.2223 0.5920  1 Al 2.78, 5 Ga 2.80, 2 Tb 3.05

Calculated values
Energy ... -4.047 eV per atom

# 6
Here is crystalline Al2Ga2Tc at its relaxed geometry from OQMD via LeMat-Bulk. Energies are from PBE-GGA.

abc: 3.5323 3.5323 12.4875
angles: 90.00 90.00 90.00
Last column: nearest neighbours and their distance in Å.
Space group I4/mmm (No. 139)
One atom of each set of equivalent atoms:
Al 0.0000 0.0000 0.0956  1 Al 2.39, 4 Ga 2.61
Ga 0.0000 0.5000 0.2500  4 Ga 2.50, 4 Al 2.61
Tc 0.0000 0.0000 0.5000  8 Al 2.77

Calculated values
Energy above the lowest structure with this stoichiometry ... 0.00 kcal/mol of atoms